No. 1
VASP calculation (PBE-GGA) on a relaxed YFe2TcTe crystal.

Values from the calculation:
**Formation energy without anion corrections**: 1.81 eV per atom

a b c (Å): 4.6862 5.6058 4.6862
angles (deg): 90.00 90.00 90.00
Last column: nearest neighbours and their distance in Å.
Atoms (fractional coordinates):
Fe  0.5000  0.0000  0.0000  2 Y 2.34
Fe  0.0000  0.0000  0.5000  2 Y 2.34
Te  0.0000  0.5000  0.0000  2 Y 2.80
Tc  0.5000  0.5000  0.5000  4 Te 3.31, 8 Fe 3.65
Y  0.0000  0.0000  0.0000  4 Fe 2.34

---

No. 2
VASP calculation (PBE-GGA) on a relaxed Th2Fe15Tc2 crystal.

Values from the calculation:
**Raw total energy**: -8.581 eV per atom

a b c (Å): 6.4778 6.4778 6.4778
angles (deg): 81.34 81.34 81.34
Last column: nearest neighbours and their distance in Å.
Atoms (fractional coordinates):
Fe  0.6604  0.6604  0.1587  8 Fe 2.43-2.63, 1 Tc 2.64
Th  0.3453  0.3453  0.3453  15 Fe 2.95-3.28, 1 Tc 3.24
Fe  0.3049  0.6951  0.0000  8 Fe 2.50-2.63
Fe  0.3049  0.0000  0.6951  8 Fe 2.50-2.63
Fe  0.8413  0.3396  0.3396  8 Fe 2.43-2.63, 1 Tc 2.64
Fe  0.3396  0.8413  0.3396  8 Fe 2.43-2.63, 1 Tc 2.64
Fe  0.6951  0.0000  0.3049  8 Fe 2.50-2.63
Fe  0.6951  0.3049  0.0000  8 Fe 2.50-2.63
Th  0.6547  0.6547  0.6547  15 Fe 2.95-3.28, 1 Tc 3.24
Fe  0.0000  0.0000  0.5000  8 Fe 2.43-2.50, 2 Tc 2.62
Fe  0.5000  0.0000  0.0000  8 Fe 2.43-2.50, 2 Tc 2.62
Tc  0.0922  0.0922  0.0922  1 Tc 2.36, 6 Fe 2.62-2.64
Fe  0.3396  0.3396  0.8413  8 Fe 2.43-2.63, 1 Tc 2.64
Tc  0.9078  0.9078  0.9078  1 Tc 2.36, 6 Fe 2.62-2.64
Fe  0.0000  0.3049  0.6951  8 Fe 2.50-2.63
Fe  0.0000  0.6951  0.3049  8 Fe 2.50-2.63
Fe  0.6604  0.1587  0.6604  8 Fe 2.43-2.63, 1 Tc 2.64
Fe  0.1587  0.6604  0.6604  8 Fe 2.43-2.63, 1 Tc 2.64
Fe  0.0000  0.5000  0.0000  8 Fe 2.43-2.50, 2 Tc 2.62

---

No. 3
VASP calculation (PBE-GGA) on a relaxed ThFe4Tc crystal.

Values from the calculation:
**Raw total energy**: -8.487 eV per atom

a b c (Å): 5.0471 5.0471 5.0471
angles (deg): 60.00 60.00 60.00
Last column: nearest neighbours and their distance in Å.
Atoms (fractional coordinates):
Th  0.0000  0.0000  0.0000  12 Fe 2.96, 4 Tc 3.09
Tc  0.2500  0.2500  0.2500  12 Fe 2.96, 4 Th 3.09
Fe  0.6241  0.6241  0.1277  6 Fe 2.51-2.54
Fe  0.6241  0.1277  0.6241  6 Fe 2.51-2.54
Fe  0.6241  0.6241  0.6241  6 Fe 2.51-2.54
Fe  0.1277  0.6241  0.6241  6 Fe 2.51-2.54

---

No. 4
VASP calculation (PBE-GGA) on a relaxed ThFe2Tc crystal.

Values from the calculation:
**Raw total energy**: -8.615 eV per atom

a b c (Å): 4.1620 4.1620 5.4569
angles (deg): 67.58 67.58 60.00
Last column: nearest neighbours and their distance in Å.
Atoms (fractional coordinates):
Fe  0.3066  0.3066  0.0801  3 Tc 2.43, 3 Fe 2.53
Fe  0.6934  0.6934  0.9199  3 Tc 2.43, 3 Fe 2.53
Tc  0.0000  0.0000  0.0000  6 Fe 2.43
Th  0.5000  0.5000  0.5000  8 Fe 2.84-3.16